{
  "formula": "BaPu2MnS8",
  "functional": "PBE-GGA",
  "state": "relaxed",
  "total_magnetization_mub_per_cell": 9.0,
  "e_form_raw_ev_per_fu": -11.31,
  "lattice_angstrom": [[6.0206, 0.0000, 0.0000], [0.5285, 6.2345, 0.0000], [0.0093, 0.0052, 8.2523]],
  "species": ["Ba", "Pu", "Pu", "Mn", "S", "S", "S", "S", "S", "S", "S", "S"],
  "fractional_positions": [[0.0000, 0.0000, 0.0000], [0.5000, 0.5000, 0.2584], [0.5000, 0.5000, 0.7416], [0.0000, 0.0000, 0.5000], [0.2441, 0.8432, 0.6900], [0.2449, 0.8440, 0.3098], [0.2639, 0.3525, 0.5002], [0.2711, 0.4000, 0.0002], [0.7289, 0.6000, 0.9998], [0.7361, 0.6475, 0.4998], [0.7551, 0.1560, 0.6902], [0.7559, 0.1568, 0.3100]]
}



{
  "formula": "Ba2PuMnS6",
  "functional": "PBE-GGA",
  "state": "relaxed",
  "total_magnetization_mub_per_cell": 7.0,
  "e_form_raw_ev_per_fu": -13.81,
  "lattice_angstrom": [[5.0618, 0.0000, 0.0000], [0.0000, 5.0618, 0.0000], [0.0000, 0.0000, 9.7507]],
  "species": ["Ba", "Ba", "Pu", "Mn", "S", "S", "S", "S", "S", "S"],
  "fractional_positions": [[0.0000, 0.0000, 0.2201], [0.0000, 0.0000, 0.7799], [0.5000, 0.5000, 0.5000], [0.5000, 0.5000, 0.0000], [0.0000, 0.5000, 0.0000], [0.0000, 0.5000, 0.5000], [0.5000, 0.0000, 0.0000], [0.5000, 0.0000, 0.5000], [0.5000, 0.5000, 0.2376], [0.5000, 0.5000, 0.7624]]
}



{
  "formula": "RbBaMn2",
  "functional": "PBE-GGA",
  "state": "relaxed",
  "delta_e_f_mev_per_atom": 1010,
  "total_magnetization_mub_per_cell": 7.8,
  "de_polymorph_mev_per_atom": 0,
  "lattice_angstrom": [[0.0000, 4.1741, 4.1741], [4.1741, 0.0000, 4.1741], [4.1741, 4.1741, 0.0000]],
  "species": ["Rb", "Ba", "Mn", "Mn"],
  "fractional_positions": [[0.0000, 0.0000, 0.0000], [0.5000, 0.5000, 0.5000], [0.2500, 0.2500, 0.2500], [0.7500, 0.7500, 0.7500]]
}



{
  "formula": "RbBaMn2",
  "functional": "PBE-GGA",
  "state": "relaxed",
  "delta_e_f_mev_per_atom": 1133,
  "total_magnetization_mub_per_cell": 15.5,
  "de_polymorph_mev_per_atom": 123,
  "lattice_angstrom": [[-2.7569, 2.7569, 11.3457], [2.7569, -2.7569, 11.3457], [2.7569, 2.7569, -11.3457]],
  "species": ["Rb", "Rb", "Ba", "Ba", "Mn", "Mn", "Mn", "Mn"],
  "fractional_positions": [[0.3750, 0.6250, 0.7500], [0.6250, 0.3750, 0.2500], [0.1250, 0.8750, 0.2500], [0.8750, 0.1250, 0.7500], [0.0000, 0.0000, 0.0000], [0.0000, 0.0000, 0.5000], [0.0000, 0.5000, 0.0000], [0.5000, 0.0000, 0.5000]]
}



{
  "formula": "Rb3BaMn",
  "functional": "PBE-GGA",
  "state": "relaxed",
  "delta_e_f_mev_per_atom": 719,
  "total_magnetization_mub_per_cell": 4.6,
  "lattice_angstrom": [[6.9886, 0.0000, 0.0000], [0.0000, 6.9886, 0.0000], [0.0000, 0.0000, 6.9886]],
  "species": ["Rb", "Rb", "Rb", "Ba", "Mn"],
  "fractional_positions": [[0.0000, 0.0000, 0.5000], [0.0000, 0.5000, 0.0000], [0.5000, 0.0000, 0.0000], [0.5000, 0.5000, 0.5000], [0.0000, 0.0000, 0.0000]]
}



{
  "formula": "Rb2BaMn",
  "functional": "PBE-GGA",
  "state": "relaxed",
  "delta_e_f_mev_per_atom": 1054,
  "total_magnetization_mub_per_cell": 8.0,
  "lattice_angstrom": [[-3.3001, 3.3001, 11.9905], [3.3001, -3.3001, 11.9905], [3.3001, 3.3001, -11.9905]],
  "species": ["Rb", "Rb", "Rb", "Rb", "Ba", "Ba", "Mn", "Mn"],
  "fractional_positions": [[0.0000, 0.0000, 0.0000], [0.0000, 0.0000, 0.5000], [0.0000, 0.5000, 0.0000], [0.5000, 0.0000, 0.5000], [0.3750, 0.6250, 0.7500], [0.6250, 0.3750, 0.2500], [0.1250, 0.8750, 0.2500], [0.8750, 0.1250, 0.7500]]
}



{
  "formula": "RbBa2MnS4",
  "functional": "PBE-GGA",
  "state": "relaxed",
  "total_magnetization_mub_per_cell": 8.0,
  "e_form_raw_ev_per_fu": -9.61,
  "lattice_angstrom": [[5.9798, -5.9374, 0.0000], [5.9798, 5.9374, 0.0000], [-5.2374, 0.0000, 7.0917]],
  "species": ["Rb", "Rb", "Ba", "Ba", "Ba", "Ba", "Mn", "Mn", "S", "S", "S", "S", "S", "S", "S", "S"],
  "fractional_positions": [[0.0000, 0.0000, 0.0000], [0.0000, 0.0000, 0.5000], [0.0000, 0.5000, 0.0000], [0.5000, 0.0000, 0.5000], [0.5000, 0.5000, 0.0000], [0.5000, 0.5000, 0.5000], [0.0000, 0.5000, 0.5000], [0.5000, 0.0000, 0.0000], [0.1704, 0.6655, 0.4273], [0.2222, 0.3233, 0.5475], [0.3233, 0.2222, 0.0475], [0.3345, 0.8296, 0.0727], [0.6655, 0.1704, 0.9273], [0.6767, 0.7778, 0.9525], [0.7778, 0.6767, 0.4525], [0.8296, 0.3345, 0.5727]]
}



{
  "formula": "RbBa2MnSe",
  "functional": "PBE-GGA",
  "state": "relaxed",
  "total_magnetization_mub_per_cell": 4.4,
  "e_form_raw_ev_per_fu": -0.83,
  "lattice_angstrom": [[6.3338, 0.0000, 0.0000], [0.0000, 6.3338, 0.0000], [0.0000, 0.0000, 6.4747]],
  "species": ["Rb", "Ba", "Ba", "Mn", "Se"],
  "fractional_positions": [[0.0000, 0.0000, 0.0000], [0.0000, 0.5000, 0.5000], [0.5000, 0.0000, 0.5000], [0.5000, 0.5000, 0.0000], [0.0000, 0.0000, 0.5000]]
}